Record 1
First-principles (GGA-PBE) data for Rb2V2Ge after structural relaxation, as listed in Alexandria.

* formation energy from the elements: 581 kJ/mol of formula units
* DFT total energy: -3.75 eV per atom
* offset from the most stable computed form: 445 meV per atom

a = 4.2632 Å, b = 4.2632 Å, c = 8.1986 Å
α = 74.93°, β = 74.93°, γ = 90.00°
Last column: nearest neighbours and their distance in Å.
Atoms (fractional coordinates):
V 0.5591 0.5591 0.8818  1 V 1.80
V 0.4409 0.4409 0.1182  1 V 1.80
Rb 0.7500 0.2500 0.5000  4 Rb 3.01
Rb 0.2500 0.7500 0.5000  4 Rb 3.01
Ge 0.0000 0.0000 0.0000  8 V 3.15


Record 2
First-principles (GGA-PBE) data for RbV3Ge after structural relaxation, as listed in Alexandria.

* formation energy from the elements: 544 kJ/mol of formula units
* DFT total energy: -5.46 eV per atom
* offset from the most stable computed form: 0 meV per atom

a = 5.0570 Å, b = 5.0570 Å, c = 5.0570 Å
α = 90.00°, β = 90.00°, γ = 90.00°
Last column: nearest neighbours and their distance in Å.
Atoms (fractional coordinates):
Ge 0.0000 0.0000 0.0000  6 V 2.53
Rb 0.5000 0.5000 0.5000  12 V 3.58
V 0.0000 0.5000 0.0000  2 Ge 2.53
V 0.5000 0.0000 0.0000  2 Ge 2.53
V 0.0000 0.0000 0.5000  2 Ge 2.53


Record 3
First-principles (GGA-PBE) data for RbVGe2 after structural relaxation, as listed in Alexandria.

* formation energy from the elements: 281 kJ/mol of formula units
* DFT total energy: -4.10 eV per atom
* offset from the most stable computed form: 441 meV per atom

a = 5.0384 Å, b = 5.0384 Å, c = 5.0384 Å
α = 60.00°, β = 60.00°, γ = 60.00°
Last column: nearest neighbours and their distance in Å.
Atoms (fractional coordinates):
Rb 0.5000 0.5000 0.5000  8 Ge 3.09
Ge 0.7500 0.7500 0.7500  4 Rb 3.09, 4 V 3.09
Ge 0.2500 0.2500 0.2500  4 Rb 3.09, 4 V 3.09
V 0.0000 0.0000 0.0000  8 Ge 3.09


Record 4
First-principles (GGA-PBE) data for Rb2V2Ge after structural relaxation, as listed in Alexandria.

* formation energy from the elements: 395 kJ/mol of formula units
* DFT total energy: -4.14 eV per atom
* offset from the most stable computed form: 58 meV per atom

a = 3.3382 Å, b = 3.3382 Å, c = 12.7846 Å
α = 82.50°, β = 82.50°, γ = 90.00°
Last column: nearest neighbours and their distance in Å.
Atoms (fractional coordinates):
Rb 0.6094 0.6094 0.7812  4 Rb 3.34, 4 Ge 3.62
Rb 0.3906 0.3906 0.2188  4 Rb 3.34, 4 Ge 3.62
V 0.7500 0.2500 0.5000  4 V 2.36
V 0.2500 0.7500 0.5000  4 V 2.36
Ge 0.0000 0.0000 0.0000  4 Ge 3.34, 8 Rb 3.62


Which value of formation energy from the elements does entry 1 give?
581 kJ/mol of formula units